Model a:
! Pa2SnH, relaxed, DFT PBE; values from VASP
! Volume = 83.9 Å³/f.u.
! Symmetry = No. 129
&SYSTEM
  ibrav = 0, nat = 8, ntyp = 3
/
ATOMIC_SPECIES
Pa 231.04 Pa.upf
Sn 118.71 Sn.upf
H 1.01 H.upf
CELL_PARAMETERS angstrom
4.3570 0.0000 0.0000
0.0000 4.3570 0.0000
0.0000 0.0000 8.8376
ATOMIC_POSITIONS crystal
Pa 0.2500 0.2500 0.1338
Pa 0.2500 0.7500 0.5000
Pa 0.7500 0.2500 0.5000
Pa 0.7500 0.7500 0.8662
Sn 0.2500 0.2500 0.7748
Sn 0.7500 0.7500 0.2252
H 0.2500 0.2500 0.3902
H 0.7500 0.7500 0.6098



Model b:
! Pa2SnH, relaxed, DFT PBE; values from VASP
! Volume = 79.6 Å³/f.u.
! Symmetry = No. 62
&SYSTEM
  ibrav = 0, nat = 16, ntyp = 3
/
ATOMIC_SPECIES
Pa 231.04 Pa.upf
Sn 118.71 Sn.upf
H 1.01 H.upf
CELL_PARAMETERS angstrom
6.6219 0.0000 0.0000
0.0000 4.7174 0.0000
0.0000 0.0000 10.1952
ATOMIC_POSITIONS crystal
Pa 0.1133 0.2500 0.2300
Pa 0.1454 0.2500 0.5735
Pa 0.3546 0.7500 0.0735
Pa 0.3867 0.7500 0.7300
Pa 0.6133 0.2500 0.2700
Pa 0.6454 0.2500 0.9265
Pa 0.8546 0.7500 0.4265
Pa 0.8867 0.7500 0.7700
Sn 0.1543 0.2500 0.8946
Sn 0.3457 0.7500 0.3946
Sn 0.6543 0.2500 0.6054
Sn 0.8457 0.7500 0.1054
H 0.0904 0.7500 0.5991
H 0.4096 0.2500 0.0991
H 0.5904 0.7500 0.9009
H 0.9096 0.2500 0.4009



Most stable of them? model b.



Model a:
! Pa2TcH, relaxed, DFT PBE; values from VASP
! Volume = 96.8 Å³/f.u.
! Symmetry = No. 166
&SYSTEM
  ibrav = 0, nat = 4, ntyp = 3
/
ATOMIC_SPECIES
Pa 231.04 Pa.upf
Tc 98.00 Tc.upf
H 1.01 H.upf
CELL_PARAMETERS angstrom
1.9659 1.1350 7.2283
-1.9659 1.1350 7.2283
0.0000 -2.2700 7.2283
ATOMIC_POSITIONS crystal
Pa 0.0974 0.0974 0.0974
Pa 0.9026 0.9026 0.9026
Tc 0.5000 0.5000 0.5000
H 0.0000 0.0000 0.0000



Model b:
! Pa2TcH, relaxed, DFT PBE; values from VASP
! Volume = 67.5 Å³/f.u.
! Symmetry = No. 123
&SYSTEM
  ibrav = 0, nat = 4, ntyp = 3
/
ATOMIC_SPECIES
Pa 231.04 Pa.upf
Tc 98.00 Tc.upf
H 1.01 H.upf
CELL_PARAMETERS angstrom
3.1937 0.0000 0.0000
0.0000 3.1937 0.0000
0.0000 0.0000 6.6219
ATOMIC_POSITIONS crystal
Pa 0.0000 0.0000 0.2178
Pa 0.0000 0.0000 0.7822
Tc 0.5000 0.5000 0.5000
H 0.5000 0.5000 0.0000



Most stable of them? model b.



Model a:
! PaTcH, relaxed, DFT PBE; values from VASP
! Volume = 53.9 Å³/f.u.
! Symmetry = No. 131
&SYSTEM
  ibrav = 0, nat = 6, ntyp = 3
/
ATOMIC_SPECIES
Pa 231.04 Pa.upf
Tc 98.00 Tc.upf
H 1.01 H.upf
CELL_PARAMETERS angstrom
4.4488 0.0000 0.0000
0.0000 4.4488 0.0000
0.0000 0.0000 5.4436
ATOMIC_POSITIONS crystal
Pa 0.0000 0.5000 0.0000
Pa 0.5000 0.0000 0.5000
Tc 0.0000 0.0000 0.2500
Tc 0.0000 0.0000 0.7500
H 0.5000 0.5000 0.0000
H 0.5000 0.5000 0.5000



Model b:
! PaTcH, relaxed, DFT PBE; values from VASP
! Volume = 50.5 Å³/f.u.
! Symmetry = No. 107
&SYSTEM
  ibrav = 0, nat = 3, ntyp = 3
/
ATOMIC_SPECIES
Pa 231.04 Pa.upf
Tc 98.00 Tc.upf
H 1.01 H.upf
CELL_PARAMETERS angstrom
-1.8760 1.8760 3.5866
1.8760 -1.8760 3.5866
1.8760 1.8760 -3.5866
ATOMIC_POSITIONS crystal
Pa 0.0000 0.0000 0.0000
Tc 0.4719 0.4719 0.0000
H 0.7043 0.7043 0.0000



Most stable of them? model b.